DFT (PBE-GGA) results for crystalline CaCr2H4 at its relaxed geometry.

Summary:
For the energy, the calculation gives -0.3289 Ry/atom. As for the magnetic moment: 9.6 μB per formula unit. Its space group is I4/mmm.

abc: 4.2007 4.2007 6.1077
angles: 69.89 69.89 90.00
Sites, in units of the cell vectors:
Cr 0.6367 0.6367 0.7266
Cr 0.3633 0.3633 0.2734
Ca 0.0000 0.0000 0.0000
H 0.7995 0.7995 0.4010
H 0.2005 0.2005 0.5990
H 0.0000 0.5000 0.0000
H 0.5000 0.0000 0.0000